Material: Rb5Pb2S5
Method: DFT, PBE
State: relaxed

Computed properties:
As for the space group: C2/m, No. 12. For the density of states at the Fermi level, the calculation gives 1.3 states/eV/cell. The crystal system is monoclinic. The calculated total energy comes out at -3.599 eV/atom.

Cell: 4.698 7.852 12.659 Å, 107.37 90.00 107.41°
Fractional positions:
Pb 0.957 0.913 0.202
Rb 0.754 0.507 0.364
S 0.103 0.206 0.380
S 0.897 0.794 0.620
Rb 0.500 0.000 0.500
Rb 0.246 0.493 0.636
Rb 0.660 0.321 0.061
Rb 0.340 0.679 0.939
S 0.351 0.703 0.211
S 0.000 0.000 0.000
S 0.649 0.297 0.789
Pb 0.043 0.087 0.798